Record 1
This record from Alexandria via LeMat-Bulk describes crystalline Sr2SnGePd6 at its relaxed geometry. The functional is GGA-PBE.

Calculated values
As for the magnetic moment: 0.000 μB/atom. The calculated total energy comes out at -46.85 eV per cell.

Lattice parameters (Å, degrees): 6.9351 6.9495 6.9625 59.89 59.97 89.94
Fractional coordinates of all 10 atoms:
1 Sr 0.7500 0.2501 0.4999
2 Sr 0.2500 0.7499 0.5001
3 Sn 0.0000 0.0000 0.0000
4 Ge 0.5000 0.5000 0.0000
5 Pd 0.2601 0.2601 0.4798
6 Pd 0.7401 0.7396 0.0001
7 Pd 0.2600 0.7399 0.0000
8 Pd 0.7400 0.2601 0.0000
9 Pd 0.2599 0.2604 0.9999
10 Pd 0.7399 0.7399 0.5202

=====

Record 2
This record from Alexandria via LeMat-Bulk describes crystalline Ca2SiCl at its relaxed geometry. The functional is GGA-PBE.

Calculated values
As for the magnetic moment: 0.000 μB/atom. As for the uncorrected formation energy: -995 meV per atom. The calculated total energy comes out at -15.25 eV per cell. The distance to the lowest polymorph of the same formula is 0.073 eV/atom.

Lattice parameters (Å, degrees): 6.0258 6.0258 4.9256 90.00 90.00 34.22
Fractional coordinates of all 4 atoms:
1 Ca 0.9932 0.9932 0.1249
2 Ca 0.7431 0.7431 0.6251
3 Cl 0.5041 0.5041 0.6249
4 Si 0.2596 0.2596 0.1251

=====

Record 3
This record from Alexandria via LeMat-Bulk describes crystalline TiSi3N at its relaxed geometry. The functional is GGA-PBE.

Calculated values
As for the magnetic moment: 0.596 μB/atom. As for the uncorrected formation energy: 1610 meV per atom. The calculated total energy comes out at -24.44 eV per cell. The distance to the lowest polymorph of the same formula is 1.330 eV/atom.

Lattice parameters (Å, degrees): 4.8040 4.8040 4.8040 90.00 90.00 90.00
Site moments in Bohr magnetons follow the coordinates.
Fractional coordinates of all 5 atoms:
1 Si 0.0000 0.5000 0.0000  0.03
2 Si 0.0000 0.0000 0.5000  0.02
3 Si 0.5000 0.0000 0.0000  0.03
4 N 0.5000 0.5000 0.5000  1.73
5 Ti 0.0000 0.0000 0.0000  0.21

=====

Record 4
This record from Alexandria via LeMat-Bulk describes crystalline CePrRuPb at its relaxed geometry. The functional is GGA-PBE.

Calculated values
As for the magnetic moment: 0.074 μB/atom. The calculated total energy comes out at -25.11 eV per cell.

Lattice parameters (Å, degrees): 3.4433 3.4433 8.6704 90.00 90.00 90.00
Site moments in Bohr magnetons follow the coordinates.
Fractional coordinates of all 4 atoms:
1 Ce 0.5000 0.5000 0.3707  0.28
2 Pr 0.5000 0.5000 0.7791  0.01
3 Ru 0.0000 0.0000 0.5575  -0.05
4 Pb 0.0000 0.0000 0.0773  -0.01

=====

Record 5
This record from Alexandria via LeMat-Bulk describes crystalline Ca3AgOs at its relaxed geometry. The functional is GGA-PBE.

Calculated values
As for the magnetic moment: 0.000 μB/atom. The calculated total energy comes out at -18.20 eV per cell. The distance to the lowest polymorph of the same formula is 0.000 eV/atom.

Lattice parameters (Å, degrees): 5.4473 5.4473 5.4473 90.00 90.00 90.00
Fractional coordinates of all 5 atoms:
1 Ca 0.0000 0.5000 0.0000
2 Ca 0.0000 0.0000 0.5000
3 Ca 0.5000 0.0000 0.0000
4 Os 0.0000 0.0000 0.0000
5 Ag 0.5000 0.5000 0.5000

=====

Record 6
This record from Alexandria via LeMat-Bulk describes crystalline NdDy3Fe8 at its relaxed geometry. The functional is GGA-PBE.

Calculated values
As for the magnetic moment: 1.219 μB/atom. The calculated total energy comes out at -86.76 eV per cell.

Lattice parameters (Å, degrees): 5.1705 5.1705 8.9519 73.23 73.23 59.94
Site moments in Bohr magnetons follow the coordinates.
Fractional coordinates of all 12 atoms:
1 Nd 0.8750 0.8750 0.3748  -0.34
2 Dy 0.3750 0.3750 0.8749  -0.55
3 Dy 0.0006 0.0006 0.9987  -0.55
4 Dy 0.4997 0.4997 0.5012  -0.54
5 Fe 0.9399 0.4382 0.1839  2.13
6 Fe 0.4343 0.9373 0.6909  2.11
7 Fe 0.4381 0.4381 0.1838  2.13
8 Fe 0.9374 0.9374 0.6910  2.12
9 Fe 0.1867 0.1867 0.4399  2.16
10 Fe 0.6880 0.6880 0.9361  2.08
11 Fe 0.4382 0.9399 0.1839  2.13
12 Fe 0.9373 0.4343 0.6909  2.11